(1)
Compound: KLiSm2Mo4O16
Source: the Alexandria database
Functional: GGA+U
Structure: relaxed

Computed properties:
**E**: -7.157 eV/atom
**SG**: C2/c (15)
**Crystal system**: monoclinic

extended XYZ file:
```
48
Lattice="-0.973 6.316 -2.869 2.250 -6.209 -2.335 -18.315 -4.975 -6.129" Properties=species:S:1:pos:R:3 pbc="T T T"
K -4.046 -0.777 -4.152
K -12.991 -4.091 -7.181
Li -4.945 2.714 -4.301
Li -12.093 -7.583 -7.032
Sm -0.430 1.729 -2.880
Sm -16.608 -6.597 -8.453
Sm -8.396 -0.435 -5.546
Sm -8.642 -4.433 -5.787
Mo -2.485 5.075 -3.283
Mo -14.553 -9.943 -8.050
Mo -8.216 3.507 -5.454
Mo -8.821 -8.375 -5.879
Mo -1.263 -3.861 -3.273
Mo -15.775 -1.008 -8.060
Mo -4.981 -4.879 -4.724
Mo -12.057 0.011 -6.609
O -1.401 4.002 -2.208
O -15.636 -8.871 -9.125
O -8.627 1.963 -6.417
O -8.411 -6.832 -4.916
O -1.890 -2.467 -4.164
O -15.147 -2.402 -7.169
O -5.121 -3.289 -3.961
O -11.916 -1.579 -7.372
O -7.423 -2.462 -6.676
O -9.615 -2.406 -4.657
O -0.328 -0.418 -1.572
O -16.709 -4.450 -9.761
O -6.283 -5.071 -6.059
O -10.755 0.202 -5.274
O -0.058 -3.293 -1.954
O -16.980 -1.575 -9.379
O -6.829 3.496 -4.361
O -10.208 -8.364 -6.972
O -3.672 4.309 -4.342
O -13.365 -9.178 -6.991
O -9.863 -3.489 -7.675
O -7.174 -1.379 -3.658
O -16.032 -5.034 -6.673
O -1.006 0.166 -4.660
O -2.617 1.324 -2.137
O -14.420 -6.193 -9.196
O -6.269 0.207 -6.299
O -10.768 -5.075 -5.034
O -5.612 1.191 -3.086
O -11.426 -6.060 -8.247
O -3.602 1.609 -5.403
O -13.436 -6.478 -5.930
```

(2)
Compound: KLiTm2Mo4O16
Source: the Alexandria database
Functional: GGA+U
Structure: relaxed

Computed properties:
**E**: -7.145 eV/atom
**SG**: C2/c (15)
**Crystal system**: monoclinic

extended XYZ file:
```
48
Lattice="6.845 0.002 0.017 -4.849 4.830 0.017 0.538 1.304 19.769" Properties=species:S:1:pos:R:3 pbc="T T T"
K 1.498 2.591 4.959
K 1.035 3.545 14.844
Li 4.794 1.230 4.959
Li -2.260 4.906 14.844
Tm 2.733 1.758 0.621
Tm -0.199 4.378 19.183
Tm 2.961 2.310 9.298
Tm -0.427 3.826 10.505
Mo 6.119 0.308 1.812
Mo -3.585 5.828 17.991
Mo 6.384 0.949 8.107
Mo -3.850 5.187 11.697
Mo -1.945 3.754 2.863
Mo 4.479 2.382 16.941
Mo -1.763 4.196 7.056
Mo 4.296 1.940 12.748
O -0.279 4.875 0.806
O 2.813 1.262 18.997
O -1.372 2.227 9.113
O 3.906 3.910 10.691
O -0.240 3.863 3.335
O 2.774 2.274 16.469
O -0.631 2.916 6.584
O 3.165 3.220 13.219
O 1.478 4.249 9.169
O 1.056 1.887 10.635
O 0.314 1.430 0.750
O 2.220 4.706 19.053
O -1.164 5.053 8.618
O 3.697 1.084 11.185
O -2.125 2.724 1.300
O 4.659 3.412 18.503
O 0.919 5.227 6.560
O 1.615 0.909 13.244
O -0.772 1.132 3.359
O 3.305 5.005 16.444
O 1.263 4.760 11.862
O 1.271 1.377 7.942
O 0.340 2.524 17.827
O 2.194 3.612 1.977
O 2.378 0.629 2.530
O 0.156 5.507 17.273
O 3.506 3.360 7.389
O -0.972 2.776 12.415
O 3.010 0.502 5.691
O -0.476 5.635 14.113
O 4.043 3.005 4.228
O -1.510 3.131 15.576
```

Which value of E does entry 1 give?
-7.157 eV/atom

What is the E in the first record?
-7.157 eV/atom